Entry 1:
A relaxed La2Rh4C crystal, computed with PBE-GGA.

Cell lengths 4.1824, 4.1824, 14.9310 Å; angles 90.00, 90.00, 90.00 degrees
Closest atoms and distances in Å follow each position.
Space group I4/mmm (No. 139)
Unique sites:
La 0.0000 0.0000 0.1599 [4 per cell]  9 Rh 2.98-3.17
Rh 0.0000 0.0000 0.3630 [4 per cell]  1 C 2.05
Rh 0.0000 0.5000 0.0000 [4 per cell]  2 C 2.09
C 0.0000 0.0000 0.5000 [2 per cell]  6 Rh 2.05-2.09

Properties
E ... -7.33 eV per atom
ΔH_f (0 K) ... -403 meV per atom
V ... 18.66 Å³ per atom
Total magnetization ... 0.000 μB/atom

***

Entry 2:
A relaxed VTe2N2 crystal, computed with PBE-GGA.

Cell lengths 3.9557, 3.9557, 7.1106 Å; angles 90.00, 90.00, 90.00 degrees
Closest atoms and distances in Å follow each position.
Space group P4/mmm (No. 123)
Unique sites:
V 0.0000 0.0000 0.0000 [1 per cell]  4 Te 2.80
Te 0.5000 0.5000 0.0000 [1 per cell]  4 V 2.80
Te 0.5000 0.5000 0.5000 [1 per cell]  4 N 1.98
N 0.0000 0.5000 0.5000 [2 per cell]  2 Te 1.98

Properties
E ... -4.78 eV per atom
V ... 22.25 Å³ per atom
Offset from the most stable computed form ... 4.81 eV/f.u.
ΔE_f (raw) ... 1.631 eV per atom
Total magnetization ... 0.007 μB/atom